Entry 1:
Crystalline InAs2W at its relaxed geometry, computed with PBE.

It has space group Cm (No. 8), with a = 8.988 Å, b = 3.341 Å, c = 6.249 Å, α = 90.00°, β = 118.89° and γ = 90.00°. The distinct sites, in fractional coordinates, are In at (0.000, 0.000, 0.000), As at (0.120, 0.500, 0.586), As at (0.302, 0.500, 0.234) and W at (0.323, 0.000, 0.557).

For the density, the calculation gives 9.1 g/cm3. Its final energy is -6.0904 eV/atom. For the formation energy, the calculation gives 157 meV per atom.



Entry 2:
Crystalline InAs2W at its relaxed geometry, computed with PBE.

It has space group Cmmm (No. 65), with a = 5.917 Å, b = 7.389 Å, c = 3.348 Å, α = 90.00°, β = 90.00° and γ = 90.00°. The distinct sites, in fractional coordinates, are In at (0.000, 0.000, 0.000), As at (0.250, 0.250, 0.500) and W at (0.000, 0.500, 0.000).

For the density, the calculation gives 10.2 g/cm3. Its final energy is -5.6296 eV/atom. For the formation energy, the calculation gives 618 meV per atom.



Entry 3:
Crystalline In3AsW at its relaxed geometry, computed with PBE.

It has space group Pm-3m (No. 221), with a = 5.298 Å, b = 5.298 Å, c = 5.298 Å, α = 90.00°, β = 90.00° and γ = 90.00°. The distinct sites, in fractional coordinates, are In at (0.000, 0.000, 0.500), As at (0.000, 0.000, 0.000) and W at (0.500, 0.500, 0.500).

For the density, the calculation gives 6.7 g/cm3. Its final energy is -3.7536 eV/atom. The value obtained for the offset from the most stable computed form is 1.84 eV/f.u. For the formation energy, the calculation gives 1410 meV per atom.



Entry 4:
Crystalline In2AsW at its relaxed geometry, computed with PBE.

It has space group I-4m2 (No. 119), with a = 4.259 Å, b = 4.259 Å, c = 8.807 Å, α = 90.00°, β = 90.00° and γ = 90.00°. The distinct sites, in fractional coordinates, are In at (0.000, 0.000, 0.000), In at (0.000, 0.500, 0.250), As at (0.000, 0.000, 0.500) and W at (0.000, 0.500, 0.750).

For the density, the calculation gives 10.2 g/cm3. Its final energy is -5.0853 eV/atom. For the formation energy, the calculation gives 685 meV per atom.



Entry 5:
Crystalline In2AsW at its relaxed geometry, computed with PBE.

It has space group Pmmm (No. 47), with a = 2.879 Å, b = 3.199 Å, c = 8.954 Å, α = 90.00°, β = 90.00° and γ = 90.00°. The distinct sites, in fractional coordinates, are In at (0.000, 0.000, 0.227), As at (0.000, 0.500, 0.500) and W at (0.500, 0.500, 0.000).

For the density, the calculation gives 9.8 g/cm3. Its final energy is -5.2696 eV/atom. For the formation energy, the calculation gives 500 meV per atom.



Entry 6:
Crystalline In2AsW at its relaxed geometry, computed with PBE.

It has space group Immm (No. 71), with a = 3.582 Å, b = 4.716 Å, c = 9.230 Å, α = 90.00°, β = 90.00° and γ = 90.00°. The distinct sites, in fractional coordinates, are In at (0.000, 0.000, 0.248), As at (0.000, 0.500, 0.500) and W at (0.000, 0.500, 0.000).

For the density, the calculation gives 10.4 g/cm3. Its final energy is -5.0928 eV/atom. For the formation energy, the calculation gives 677 meV per atom.



Entry 7:
Crystalline InAs2W at its relaxed geometry, computed with PBE.

It has space group Amm2 (No. 38), with a = 4.682 Å, b = 3.555 Å, c = 9.268 Å, α = 90.00°, β = 90.00° and γ = 90.00°. The distinct sites, in fractional coordinates, are In at (0.000, 0.000, 0.000), As at (0.000, 0.000, 0.722), As at (0.500, 0.000, 0.314) and W at (0.500, 0.000, 0.601).

For the density, the calculation gives 9.7 g/cm3. Its final energy is -5.9674 eV/atom. For the formation energy, the calculation gives 280 meV per atom.



Entry 8:
Crystalline In2AsW at its relaxed geometry, computed with PBE.

It has space group R3m (No. 160, hexagonal axes), with a = 3.1878 Å, b = 3.1878 Å, c = 29.6526 Å, α = 90.00°, β = 90.00° and γ = 120.00°. The distinct sites, in fractional coordinates, are In at (0.0000, 0.0000, 0.0000), In at (0.0000, 0.0000, 0.2390), As at (0.0000, 0.0000, 0.4703) and W at (0.0000, 0.0000, 0.7447).

For the density, the calculation gives 9.3 g/cm3. Its final energy is -5.5480 eV/atom. For the formation energy, the calculation gives 222 meV per atom.



Entry 9:
Crystalline InAs2W at its relaxed geometry, computed with PBE.

It has space group F-43m (No. 216), with a = 6.694 Å, b = 6.694 Å, c = 6.694 Å, α = 90.00°, β = 90.00° and γ = 90.00°. The distinct sites, in fractional coordinates, are In at (0.000, 0.000, 0.000), As at (0.000, 0.000, 0.500), As at (0.250, 0.250, 0.250) and W at (0.250, 0.250, 0.750).

For the density, the calculation gives 9.9 g/cm3. Its final energy is -5.3855 eV/atom. For the formation energy, the calculation gives 862 meV per atom.



Entry 10:
Crystalline InAs2W at its relaxed geometry, computed with PBE.

It has space group Pmmm (No. 47), with a = 3.333 Å, b = 4.586 Å, c = 4.864 Å, α = 90.00°, β = 90.00° and γ = 90.00°. The distinct sites, in fractional coordinates, are In at (0.000, 0.000, 0.000), As at (0.000, 0.500, 0.500), As at (0.500, 0.500, 0.000) and W at (0.500, 0.000, 0.500).

For the density, the calculation gives 10.0 g/cm3. Its final energy is -5.5266 eV/atom. For the formation energy, the calculation gives 721 meV per atom.



Entry 11:
Crystalline In2AsW at its relaxed geometry, computed with PBE.

It has space group Pmmm (No. 47), with a = 3.454 Å, b = 4.754 Å, c = 4.806 Å, α = 90.00°, β = 90.00° and γ = 90.00°. The distinct sites, in fractional coordinates, are In at (0.000, 0.000, 0.000), In at (0.500, 0.000, 0.500), As at (0.000, 0.500, 0.500) and W at (0.500, 0.500, 0.000).

For the density, the calculation gives 10.3 g/cm3. Its final energy is -5.0419 eV/atom. For the formation energy, the calculation gives 728 meV per atom.



Entry 12:
Crystalline In2AsW at its relaxed geometry, computed with PBE.

It has space group Pm (No. 6), with a = 3.737 Å, b = 4.235 Å, c = 5.560 Å, α = 90.00°, β = 109.54° and γ = 90.00°. The distinct sites, in fractional coordinates, are In at (0.000, 0.000, 0.000), In at (0.318, 0.500, 0.637), As at (0.723, 0.000, 0.449) and W at (0.593, 0.500, 0.186).

For the density, the calculation gives 9.8 g/cm3. Its final energy is -5.4323 eV/atom. For the formation energy, the calculation gives 338 meV per atom.